(1)
Crystalline Cs2Ca3YF12 at its relaxed geometry, computed with PBE.

a b c (Å): 8.324 8.324 8.324
angles (deg): 58.92 58.92 58.92
Fractional positions:
Cs: 0.111 0.111 0.111
Cs: 0.889 0.889 0.889
Ca: 0.000 0.500 0.500
Ca: 0.500 0.000 0.500
Ca: 0.500 0.500 0.000
Y: 0.500 0.500 0.500
F: 0.168 0.168 0.584
F: 0.168 0.584 0.168
F: 0.185 0.567 0.567
F: 0.416 0.832 0.832
F: 0.433 0.433 0.815
F: 0.433 0.815 0.433
F: 0.567 0.185 0.567
F: 0.567 0.567 0.185
F: 0.584 0.168 0.168
F: 0.815 0.433 0.433
F: 0.832 0.416 0.832
F: 0.832 0.832 0.416

Results
Its uncorrected formation energy is -3.45 eV per atom. As for the symmetry: R-3m.

(2)
Crystalline La6TlRh4 at its relaxed geometry, computed with PBE.

a b c (Å): 7.353 7.353 21.481
angles (deg): 90.00 90.00 147.01
Fractional positions:
La: 0.000 0.000 0.000
La: 0.000 0.000 0.500
La: 0.153 0.847 0.750
La: 0.267 0.733 0.085
La: 0.267 0.733 0.415
La: 0.460 0.540 0.652
La: 0.460 0.540 0.848
La: 0.540 0.460 0.152
La: 0.540 0.460 0.348
La: 0.733 0.267 0.585
La: 0.733 0.267 0.915
La: 0.847 0.153 0.250
Tl: 0.161 0.839 0.250
Tl: 0.839 0.161 0.750
Rh: 0.099 0.901 0.628
Rh: 0.099 0.901 0.872
Rh: 0.363 0.637 0.542
Rh: 0.363 0.637 0.958
Rh: 0.637 0.363 0.042
Rh: 0.637 0.363 0.458
Rh: 0.901 0.099 0.128
Rh: 0.901 0.099 0.372

Results
As for the symmetry: Cmcm. Its energy relative to the elements is -0.628 eV per atom.

(3)
Crystalline Fe2TcP at its relaxed geometry, computed with PBE.

a b c (Å): 4.064 4.064 4.064
angles (deg): 60.00 60.00 60.00
Fractional positions:
Fe: 0.000 0.000 0.000
Fe: 0.250 0.250 0.250
Tc: 0.750 0.750 0.750
P: 0.500 0.500 0.500

Results
As for the symmetry: F-43m. Its energy relative to the elements is -0.133 eV per atom.

(4)
Crystalline HoEr9Sc2 at its relaxed geometry, computed with PBE.

a b c (Å): 4.908 4.908 14.696
angles (deg): 90.00 90.00 90.00
Fractional positions:
Ho: 0.000 0.000 0.000
Er: 0.000 0.500 0.171
Er: 0.000 0.500 0.500
Er: 0.000 0.500 0.829
Er: 0.500 0.000 0.171
Er: 0.500 0.000 0.500
Er: 0.500 0.000 0.829
Er: 0.500 0.500 0.000
Er: 0.500 0.500 0.336
Er: 0.500 0.500 0.664
Sc: 0.000 0.000 0.335
Sc: 0.000 0.000 0.665

Results
As for the symmetry: P4/mmm. Its energy relative to the elements is 0.038 eV per atom.

(5)
Crystalline MnMo2Pt at its relaxed geometry, computed with PBE.

a b c (Å): 9.345 9.345 9.345
angles (deg): 17.00 17.00 17.00
Fractional positions:
Mn: 0.000 0.000 0.000
Mo: 0.253 0.253 0.253
Mo: 0.497 0.497 0.497
Pt: 0.746 0.746 0.746

Results
As for the symmetry: R3m. Its energy relative to the elements is 0.113 eV per atom.

(6)
Crystalline Zr5Mn3H12 at its relaxed geometry, computed with PBE.

a b c (Å): 10.180 10.180 10.180
angles (deg): 109.47 109.47 109.47
Fractional positions:
Zr: 0.000 0.000 0.000
Zr: 0.000 0.000 0.500
Zr: 0.000 0.500 0.000
Zr: 0.000 0.500 0.500
Zr: 0.125 0.750 0.875
Zr: 0.125 0.875 0.250
Zr: 0.250 0.125 0.875
Zr: 0.250 0.625 0.375
Zr: 0.375 0.250 0.625
Zr: 0.375 0.625 0.750
Zr: 0.500 0.000 0.000
Zr: 0.500 0.000 0.500
Zr: 0.500 0.500 0.000
Zr: 0.500 0.500 0.500
Zr: 0.625 0.375 0.250
Zr: 0.625 0.750 0.375
Zr: 0.750 0.375 0.625
Zr: 0.750 0.875 0.125
Zr: 0.875 0.125 0.750
Zr: 0.875 0.250 0.125
Mn: 0.125 0.250 0.375
Mn: 0.125 0.375 0.750
Mn: 0.250 0.375 0.125
Mn: 0.250 0.875 0.625
Mn: 0.375 0.125 0.250
Mn: 0.375 0.750 0.125
Mn: 0.625 0.250 0.875
Mn: 0.625 0.875 0.750
Mn: 0.750 0.125 0.375
Mn: 0.750 0.625 0.875
Mn: 0.875 0.625 0.250
Mn: 0.875 0.750 0.625
H: 0.045 0.716 0.654
H: 0.045 0.828 0.391
H: 0.062 0.216 0.172
H: 0.062 0.346 0.891
H: 0.109 0.672 0.455
H: 0.109 0.938 0.654
H: 0.154 0.216 0.545
H: 0.154 0.438 0.609
H: 0.172 0.062 0.216
H: 0.172 0.609 0.955
H: 0.216 0.172 0.062
H: 0.216 0.545 0.154
H: 0.284 0.346 0.955
H: 0.284 0.438 0.328
H: 0.328 0.284 0.438
H: 0.328 0.545 0.891
H: 0.346 0.891 0.062
H: 0.346 0.955 0.284
H: 0.391 0.045 0.828
H: 0.391 0.846 0.562
H: 0.438 0.328 0.284
H: 0.438 0.609 0.154
H: 0.455 0.109 0.672
H: 0.455 0.846 0.784
H: 0.545 0.154 0.216
H: 0.545 0.891 0.328
H: 0.562 0.391 0.846
H: 0.562 0.672 0.716
H: 0.609 0.154 0.438
H: 0.609 0.955 0.172
H: 0.654 0.045 0.716
H: 0.654 0.109 0.938
H: 0.672 0.455 0.109
H: 0.672 0.716 0.562
H: 0.716 0.562 0.672
H: 0.716 0.654 0.045
H: 0.784 0.455 0.846
H: 0.784 0.828 0.938
H: 0.828 0.391 0.045
H: 0.828 0.938 0.784
H: 0.846 0.562 0.391
H: 0.846 0.784 0.455
H: 0.891 0.062 0.346
H: 0.891 0.328 0.545
H: 0.938 0.654 0.109
H: 0.938 0.784 0.828
H: 0.955 0.172 0.609
H: 0.955 0.284 0.346

Results
The final energy is -0.4169 Ry/atom. As for the symmetry: Ia-3d.

(7)
Crystalline KRb5Na2 at its relaxed geometry, computed with PBE.

a b c (Å): 12.543 12.543 12.543
angles (deg): 127.61 127.61 77.26
Fractional positions:
K: 0.250 0.250 0.000
K: 0.750 0.750 0.000
Rb: 0.000 0.000 0.000
Rb: 0.016 0.516 0.821
Rb: 0.196 0.016 0.500
Rb: 0.304 0.804 0.821
Rb: 0.484 0.304 0.500
Rb: 0.500 0.500 0.000
Rb: 0.516 0.696 0.500
Rb: 0.696 0.196 0.179
Rb: 0.804 0.984 0.500
Rb: 0.984 0.484 0.179
Na: 0.124 0.376 0.500
Na: 0.376 0.876 0.251
Na: 0.624 0.124 0.749
Na: 0.876 0.624 0.500

Results
As for the symmetry: I4/mcm. Its energy relative to the elements is 0.031 eV per atom.

(8)
Crystalline HoTmZn4 at its relaxed geometry, computed with PBE.

a b c (Å): 5.628 5.628 5.628
angles (deg): 133.15 104.75 93.53
Fractional positions:
Ho: 0.000 0.000 0.000
Tm: 0.500 0.000 0.500
Zn: 0.083 0.333 0.750
Zn: 0.417 0.667 0.750
Zn: 0.583 0.333 0.250
Zn: 0.917 0.667 0.250

Results
As for the symmetry: Immm. Its energy relative to the elements is -0.377 eV per atom.

(9)
Crystalline TlCdPd2W at its relaxed geometry, computed with PBE.

a b c (Å): 4.834 4.834 5.086
angles (deg): 90.00 90.00 90.00
Fractional positions:
Tl: 0.000 0.000 0.000
Cd: 0.000 0.000 0.500
Pd: 0.000 0.500 0.500
Pd: 0.500 0.000 0.500
W: 0.500 0.500 0.000

Results
As for the symmetry: P4/mmm. Its energy relative to the elements is 1.805 eV per atom.

(10)
Crystalline GeAs at its relaxed geometry, computed with PBE.

a b c (Å): 5.078 3.888 4.512
angles (deg): 90.00 90.00 90.00
Fractional positions:
Ge: 0.250 0.000 0.088
Ge: 0.750 0.000 0.912
As: 0.250 0.500 0.445
As: 0.750 0.500 0.555

Results
As for the symmetry: Pmma. Its energy relative to the elements is 0.063 eV per atom.

(11)
Crystalline Rb2NaCrC at its relaxed geometry, computed with PBE.

a b c (Å): 7.017 7.017 5.592
angles (deg): 90.00 90.00 90.00
Fractional positions:
Rb: 0.000 0.500 0.000
Rb: 0.500 0.000 0.000
Na: 0.000 0.000 0.000
Cr: 0.000 0.000 0.500
C: 0.500 0.500 0.500

Results
As for the symmetry: P4/mmm. Its energy relative to the elements is 1.863 eV per atom.

(12)
Crystalline Ho3Bi3H2 at its relaxed geometry, computed with PBE.

a b c (Å): 6.316 6.316 16.362
angles (deg): 90.00 90.00 145.34
Fractional positions:
Ho: 0.148 0.852 0.750
Ho: 0.151 0.849 0.052
Ho: 0.151 0.849 0.448
Ho: 0.849 0.151 0.552
Ho: 0.849 0.151 0.948
Ho: 0.852 0.148 0.250
Bi: 0.133 0.867 0.250
Bi: 0.437 0.563 0.104
Bi: 0.437 0.563 0.396
Bi: 0.563 0.437 0.604
Bi: 0.563 0.437 0.896
Bi: 0.867 0.133 0.750
H: 0.264 0.736 0.551
H: 0.264 0.736 0.949
H: 0.736 0.264 0.051
H: 0.736 0.264 0.449

Results
The final energy is -0.3393 Ry/atom. As for the symmetry: Cmcm.

(13)
Crystalline Na3Tb2ZrSe6 at its relaxed geometry, computed with PBE.

a b c (Å): 7.022 7.022 7.444
angles (deg): 99.08 99.08 120.01
Fractional positions:
Na: 0.000 0.000 0.000
Na: 0.331 0.669 0.000
Na: 0.669 0.331 0.000
Tb: 0.166 0.834 0.500
Tb: 0.834 0.166 0.500
Zr: 0.500 0.500 0.500
Se: 0.102 0.423 0.270
Se: 0.256 0.256 0.729
Se: 0.423 0.102 0.270
Se: 0.577 0.898 0.730
Se: 0.744 0.744 0.271
Se: 0.898 0.577 0.730

Results
Its uncorrected formation energy is -1.55 eV per atom. As for the symmetry: C2/m.

(14)
Crystalline Co2AgIr2 at its relaxed geometry, computed with PBE.

a b c (Å): 7.299 7.299 2.669
angles (deg): 90.00 90.00 90.00
Fractional positions:
Co: 0.123 0.377 0.000
Co: 0.377 0.877 0.000
Co: 0.623 0.123 0.000
Co: 0.877 0.623 0.000
Ag: 0.000 0.000 0.000
Ag: 0.500 0.500 0.000
Ir: 0.169 0.669 0.500
Ir: 0.331 0.169 0.500
Ir: 0.669 0.831 0.500
Ir: 0.831 0.331 0.500

Results
As for the symmetry: P4/mbm. Its energy relative to the elements is 0.271 eV per atom.

(15)
Crystalline PmSm2Tm7 at its relaxed geometry, computed with PBE.

a b c (Å): 9.691 9.691 5.083
angles (deg): 90.00 90.00 127.48
Fractional positions:
Pm: 0.000 0.000 0.000
Sm: 0.299 0.701 0.500
Sm: 0.701 0.299 0.500
Tm: 0.072 0.288 0.500
Tm: 0.195 0.805 0.000
Tm: 0.288 0.072 0.500
Tm: 0.500 0.500 0.500
Tm: 0.712 0.928 0.500
Tm: 0.805 0.195 0.000
Tm: 0.928 0.712 0.500

Results
As for the symmetry: Cmmm. Its energy relative to the elements is 0.703 eV per atom.

(16)
Crystalline Sr2NdSn4Ir3 at its relaxed geometry, computed with PBE.

a b c (Å): 4.557 4.557 12.146
angles (deg): 90.00 90.00 90.00
Fractional positions:
Sr: 0.000 0.500 0.230
Sr: 0.500 0.000 0.770
Nd: 0.000 0.000 0.500
Sn: 0.000 0.000 0.000
Sn: 0.000 0.500 0.667
Sn: 0.500 0.000 0.333
Sn: 0.500 0.500 0.000
Ir: 0.000 0.500 0.882
Ir: 0.500 0.000 0.118
Ir: 0.500 0.500 0.500

Results
As for the symmetry: P-4m2. Its energy relative to the elements is -0.438 eV per atom.

(17)
Crystalline Cs2AgSbS4 at its relaxed geometry, computed with PBE.

a b c (Å): 14.394 12.919 7.824
angles (deg): 84.06 63.21 32.72
Fractional positions:
Cs: 0.054 0.054 0.696
Cs: 0.304 0.304 0.946
Cs: 0.696 0.696 0.054
Cs: 0.946 0.946 0.304
Ag: 0.125 0.125 0.125
Ag: 0.875 0.875 0.875
Sb: 0.375 0.375 0.375
Sb: 0.625 0.625 0.625
S: 0.008 0.638 0.546
S: 0.308 0.546 0.638
S: 0.362 0.992 0.692
S: 0.454 0.692 0.992
S: 0.546 0.308 0.008
S: 0.638 0.008 0.308
S: 0.692 0.454 0.362
S: 0.992 0.362 0.454

Results
Its uncorrected formation energy is -0.62 eV per atom. As for the symmetry: Fddd.

Number 1: size of the total moment 0.073 μB/atom. Number 2: size of the total moment 0.000 μB/atom. Number 3: size of the total moment 0.972 μB/atom. Number 4: size of the total moment 0.000 μB/atom. Number 5: size of the total moment 0.684 μB/atom. Number 6: size of the total moment 0.548 μB/atom. Number 7: size of the total moment 0.000 μB/atom. Number 8: size of the total moment 0.000 μB/atom. Number 9: size of the total moment 0.000 μB/atom. Number 10: size of the total moment 0.000 μB/atom. Number 11: size of the total moment 1.644 μB/atom. Number 12: size of the total moment 0.000 μB/atom. Number 13: size of the total moment 0.000 μB/atom. Number 14: size of the total moment 0.810 μB/atom. Number 15: size of the total moment 0.000 μB/atom. Number 16: size of the total moment 0.000 μB/atom. Number 17: size of the total moment 0.000 μB/atom.